No. 1
## LiPmAg4 (GGA-PBE)

Data for a relaxed structure of LiPmAg4.

The space group is F-43m (No. 216) and the conventional cell measures 7.938, 7.938 and 7.938 Å, with angles of 90.00, 90.00 and 90.00 degrees. The asymmetric unit holds Li at (0.000, 0.000, 0.000), Pm at (0.250, 0.250, 0.750) and Ag at (0.126, 0.126, 0.374).

As for the formation energy: -0.161 eV/atom. As for the crystal system: cubic. The excess energy over the best structure of this formula in the dataset is 38 meV per atom. Its volume is 500 Å³/cell.

***

No. 2
## LiPmAg2 (GGA-PBE)

Data for a relaxed structure of LiPmAg2.

The space group is P4/mmm (No. 123) and the conventional cell measures 5.121, 5.121 and 3.443 Å, with angles of 90.00, 90.00 and 90.00 degrees. The asymmetric unit holds Li at (0.000, 0.000, 0.000), Pm at (0.500, 0.500, 0.000) and Ag at (0.000, 0.500, 0.500).

As for the formation energy: -0.140 eV/atom. As for the crystal system: tetragonal. The excess energy over the best structure of this formula in the dataset is 81 meV per atom. Its volume is 90 Å³/cell.

***

No. 3
## LiPm6Ag5 (GGA-PBE)

Data for a relaxed structure of LiPm6Ag5.

The space group is P2/m (No. 10) and the conventional cell measures 5.296, 7.406 and 8.394 Å, with angles of 90.00, 108.16 and 90.00 degrees. The asymmetric unit holds Li at (0.000, 0.000, 0.000), Pm at (0.169, 0.250, 0.338), Pm at (0.500, 0.256, 0.000), Ag at (0.000, 0.500, 0.000), Ag at (0.332, 0.500, 0.665) and Ag at (0.342, 0.000, 0.686).

As for the formation energy: -0.210 eV/atom. As for the crystal system: monoclinic. Its volume is 313 Å³/cell.

***

No. 4
## Li5Pm2Ag5 (GGA-PBE)

Data for a relaxed structure of Li5Pm2Ag5.

The space group is Pmmm (No. 47) and the conventional cell measures 4.663, 5.359 and 9.643 Å, with angles of 90.00, 90.00 and 90.00 degrees. The asymmetric unit holds Li at (0.000, 0.000, 0.000), Li at (0.000, 0.252, 0.254), Pm at (0.500, 0.000, 0.500), Pm at (0.500, 0.500, 0.000), Ag at (0.000, 0.500, 0.500), Ag at (0.500, 0.000, 0.169) and Ag at (0.500, 0.500, 0.323).

As for the formation energy: -0.200 eV/atom. As for the crystal system: orthorhombic. Its volume is 241 Å³/cell.

***

No. 5
## Li6Pm3Ag20 (GGA-PBE)

Data for a relaxed structure of Li6Pm3Ag20.

The space group is Fm-3m (No. 225) and the conventional cell measures 12.867, 12.867 and 12.867 Å, with angles of 90.00, 90.00 and 90.00 degrees. The asymmetric unit holds Li at (0.000, 0.000, 0.231), Pm at (0.000, 0.000, 0.500), Pm at (0.250, 0.250, 0.250), Ag at (0.000, 0.174, 0.326) and Ag at (0.115, 0.115, 0.115).

As for the formation energy: -0.122 eV/atom. As for the crystal system: cubic. Its volume is 2130 Å³/cell.

***

No. 6
## LiPm3Ag2 (GGA-PBE)

Data for a relaxed structure of LiPm3Ag2.

The space group is Cmmm (No. 65) and the conventional cell measures 5.236, 15.839 and 3.788 Å, with angles of 90.00, 90.00 and 90.00 degrees. The asymmetric unit holds Li at (0.000, 0.000, 0.000), Pm at (0.000, 0.171, 0.500), Pm at (0.000, 0.500, 0.500) and Ag at (0.000, 0.342, 0.000).

As for the formation energy: -0.149 eV/atom. As for the crystal system: orthorhombic. The excess energy over the best structure of this formula in the dataset is 0 meV per atom. Its volume is 314 Å³/cell.

***

> The lowest volume belongs to which entry?

LiPmAg2

***

> Which of these has the highest volume?

Li6Pm3Ag20